# 1
{"formula": "La5Ti4O15", "functional": "GGA-PBEsol", "state": "relaxed", "lattice": [[5.496, 0.000, 0.000], [-2.748, 4.759, 0.000], [0.000, 0.000, 22.074]], "species": ["La", "La", "La", "La", "La", "La", "La", "La", "La", "La", "Ti", "Ti", "Ti", "Ti", "Ti", "Ti", "Ti", "Ti", "O", "O", "O", "O", "O", "O", "O", "O", "O", "O", "O", "O", "O", "O", "O", "O", "O", "O", "O", "O", "O", "O", "O", "O", "O", "O", "O", "O", "O", "O"], "fractional_positions": [[0.667, 0.333, 0.286], [0.333, 0.667, 0.214], [0.333, 0.667, 0.714], [0.667, 0.333, 0.786], [0.667, 0.333, 0.109], [0.333, 0.667, 0.391], [0.333, 0.667, 0.891], [0.667, 0.333, 0.609], [0.000, 0.000, 0.500], [0.000, 0.000, 0.000], [0.000, 0.000, 0.342], [0.000, 0.000, 0.158], [0.000, 0.000, 0.658], [0.000, 0.000, 0.842], [0.667, 0.333, 0.449], [0.333, 0.667, 0.051], [0.333, 0.667, 0.551], [0.667, 0.333, 0.949], [0.876, 0.653, 0.197], [0.777, 0.124, 0.197], [0.347, 0.223, 0.197], [0.653, 0.876, 0.303], [0.124, 0.777, 0.303], [0.223, 0.347, 0.303], [0.124, 0.347, 0.803], [0.223, 0.876, 0.803], [0.653, 0.777, 0.803], [0.347, 0.124, 0.697], [0.876, 0.223, 0.697], [0.777, 0.653, 0.697], [0.801, 0.673, 0.400], [0.873, 0.199, 0.400], [0.327, 0.127, 0.400], [0.673, 0.801, 0.100], [0.199, 0.873, 0.100], [0.127, 0.327, 0.100], [0.500, 0.500, 0.000], [0.000, 0.500, 0.000], [0.500, 0.000, 0.000], [0.500, 0.500, 0.500], [0.500, 0.000, 0.500], [0.000, 0.500, 0.500], [0.873, 0.673, 0.900], [0.801, 0.127, 0.900], [0.327, 0.199, 0.900], [0.673, 0.873, 0.600], [0.127, 0.801, 0.600], [0.199, 0.327, 0.600]], "magmom_total_mub_per_atom": 0.0000, "raw_formation_energy_mev_per_atom": -3344, "dos_ef_per_ev_cell": 11.963}

---

# 2
{"formula": "La4Ti3O12", "functional": "GGA-PBEsol", "state": "relaxed", "lattice": [[5.536, 0.000, 0.000], [2.768, 4.794, 0.000], [2.768, 1.598, 8.641]], "species": ["La", "La", "La", "La", "Ti", "Ti", "Ti", "O", "O", "O", "O", "O", "O", "O", "O", "O", "O", "O", "O"], "fractional_positions": [[0.134, 0.134, 0.598], [0.866, 0.866, 0.402], [0.287, 0.287, 0.138], [0.713, 0.713, 0.862], [0.000, 0.000, 0.000], [0.425, 0.425, 0.726], [0.575, 0.575, 0.274], [0.696, 0.114, 0.632], [0.558, 0.696, 0.632], [0.114, 0.558, 0.632], [0.304, 0.886, 0.368], [0.442, 0.304, 0.368], [0.886, 0.442, 0.368], [0.852, 0.292, 0.124], [0.708, 0.269, 0.876], [0.269, 0.148, 0.876], [0.148, 0.708, 0.876], [0.292, 0.731, 0.124], [0.731, 0.852, 0.124]], "magmom_total_mub_per_atom": 0.0000, "polymorph_energy_ev_per_atom": 0.000, "raw_formation_energy_mev_per_atom": -3392, "dos_ef_per_ev_cell": 0.000}

---

# 3
{"formula": "La2Ti2O7", "functional": "GGA-PBEsol", "state": "relaxed", "lattice": [[3.895, 0.000, 0.000], [0.000, 5.531, 0.000], [-1.947, 0.000, 12.724]], "species": ["La", "La", "La", "La", "Ti", "Ti", "Ti", "Ti", "O", "O", "O", "O", "O", "O", "O", "O", "O", "O", "O", "O", "O", "O"], "fractional_positions": [[0.297, 0.661, 0.593], [0.703, 0.161, 0.407], [0.447, 0.243, 0.895], [0.553, 0.743, 0.105], [0.837, 0.205, 0.675], [0.163, 0.705, 0.325], [0.940, 0.740, 0.880], [0.060, 0.240, 0.120], [0.780, 0.420, 0.560], [0.220, 0.920, 0.440], [0.883, 0.550, 0.766], [0.117, 0.050, 0.234], [0.347, 0.247, 0.693], [0.653, 0.747, 0.307], [0.451, 0.768, 0.902], [0.549, 0.268, 0.098], [0.989, 0.473, 0.978], [0.011, 0.973, 0.022], [0.092, 0.560, 0.184], [0.908, 0.060, 0.816], [0.203, 0.437, 0.406], [0.797, 0.937, 0.594]], "magmom_total_mub_per_atom": 0.0000, "raw_formation_energy_mev_per_atom": -3372, "dos_ef_per_ev_cell": 0.000}

---

# 4
{"formula": "LaTiO3", "functional": "GGA-PBEsol", "state": "relaxed", "lattice": [[-1.969, -2.782, 1.915], [-0.579, -1.906, -3.364], [3.328, -1.978, 0.548]], "species": ["La", "O", "O", "O", "Ti"], "fractional_positions": [[0.500, 0.500, 0.500], [0.000, 0.500, 0.000], [0.000, 0.000, 0.500], [0.500, 0.000, 0.000], [0.000, 0.000, 0.000]], "magmom_total_mub_per_atom": 0.0000, "raw_formation_energy_mev_per_atom": -3250, "dos_ef_per_ev_cell": 1.665}

---

# 5
{"formula": "La2Ti2O7", "functional": "GGA-PBEsol", "state": "relaxed", "lattice": [[7.333, 0.000, 0.000], [3.667, 6.351, 0.000], [3.667, 2.117, 5.987]], "species": ["La", "La", "La", "La", "Ti", "Ti", "Ti", "Ti", "O", "O", "O", "O", "O", "O", "O", "O", "O", "O", "O", "O", "O", "O"], "fractional_positions": [[0.625, 0.125, 0.625], [0.625, 0.625, 0.125], [0.625, 0.625, 0.625], [0.125, 0.625, 0.625], [0.125, 0.625, 0.125], [0.125, 0.125, 0.625], [0.125, 0.125, 0.125], [0.625, 0.125, 0.125], [0.750, 0.750, 0.750], [0.500, 0.500, 0.500], [0.448, 0.052, 0.448], [0.198, 0.802, 0.198], [0.448, 0.448, 0.052], [0.448, 0.052, 0.052], [0.052, 0.448, 0.448], [0.052, 0.052, 0.448], [0.052, 0.448, 0.052], [0.198, 0.802, 0.802], [0.802, 0.198, 0.198], [0.802, 0.198, 0.802], [0.198, 0.198, 0.802], [0.802, 0.802, 0.198]], "magmom_total_mub_per_atom": 0.0000, "raw_formation_energy_mev_per_atom": -3325, "dos_ef_per_ev_cell": 0.000}

---

# 6
{"formula": "La2TiO5", "functional": "GGA-PBEsol", "state": "relaxed", "lattice": [[-3.747, 0.997, 0.384], [0.572, -1.992, 10.757], [3.055, 10.776, 1.834]], "species": ["La", "La", "La", "La", "La", "La", "La", "La", "Ti", "Ti", "Ti", "Ti", "O", "O", "O", "O", "O", "O", "O", "O", "O", "O", "O", "O", "O", "O", "O", "O", "O", "O", "O", "O"], "fractional_positions": [[0.250, 0.904, 0.717], [0.750, 0.096, 0.283], [0.250, 0.404, 0.783], [0.750, 0.596, 0.217], [0.750, 0.636, 0.561], [0.250, 0.364, 0.439], [0.750, 0.136, 0.939], [0.250, 0.864, 0.061], [0.750, 0.693, 0.873], [0.250, 0.307, 0.127], [0.750, 0.193, 0.627], [0.250, 0.807, 0.373], [0.750, 0.537, 0.829], [0.250, 0.463, 0.171], [0.750, 0.037, 0.671], [0.250, 0.963, 0.329], [0.750, 0.781, 0.729], [0.250, 0.219, 0.271], [0.750, 0.281, 0.771], [0.250, 0.719, 0.229], [0.250, 0.740, 0.876], [0.750, 0.260, 0.124], [0.250, 0.240, 0.624], [0.750, 0.760, 0.376], [0.750, 0.991, 0.101], [0.250, 0.009, 0.899], [0.750, 0.491, 0.399], [0.250, 0.509, 0.601], [0.750, 0.726, 0.035], [0.250, 0.274, 0.965], [0.750, 0.226, 0.465], [0.250, 0.774, 0.535]], "magmom_total_mub_per_atom": 0.0000, "raw_formation_energy_mev_per_atom": -3431, "dos_ef_per_ev_cell": 0.000}

---

# 7
{"formula": "La4Ti3O12", "functional": "GGA-PBEsol", "state": "relaxed", "lattice": [[5.494, -0.002, -0.004], [-0.052, 5.630, -0.015], [-0.101, -0.191, 7.852]], "species": ["La", "La", "La", "La", "Ti", "Ti", "Ti", "O", "O", "O", "O", "O", "O", "O", "O", "O", "O", "O", "O"], "fractional_positions": [[0.013, 0.043, 0.268], [0.489, 0.574, 0.273], [0.511, 0.426, 0.727], [0.987, 0.957, 0.732], [0.000, 0.500, 0.000], [0.000, 0.500, 0.500], [0.500, 0.000, 0.000], [0.081, 0.512, 0.756], [0.217, 0.780, 0.048], [0.176, 0.788, 0.464], [0.276, 0.287, 0.049], [0.286, 0.324, 0.456], [0.408, 0.017, 0.771], [0.592, 0.983, 0.229], [0.714, 0.676, 0.544], [0.724, 0.713, 0.951], [0.824, 0.212, 0.536], [0.783, 0.220, 0.952], [0.919, 0.488, 0.244]], "magmom_total_mub_per_atom": 0.0000, "polymorph_energy_ev_per_atom": 0.072, "raw_formation_energy_mev_per_atom": -3321, "dos_ef_per_ev_cell": 0.000}

---

# 8
{"formula": "LaTi2O6", "functional": "GGA-PBEsol", "state": "relaxed", "lattice": [[-3.739, 0.347, -0.625], [-0.710, -2.203, 3.022], [-0.180, 6.419, 4.639]], "species": ["Ti", "Ti", "O", "O", "O", "O", "O", "O", "La"], "fractional_positions": [[0.500, 0.500, 0.771], [0.500, 0.500, 0.229], [0.500, 0.000, 0.722], [0.000, 0.500, 0.722], [0.500, 0.000, 0.278], [0.000, 0.500, 0.278], [0.500, 0.500, 0.500], [0.500, 0.500, 0.000], [0.000, 0.000, 0.500]], "magmom_total_mub_per_atom": 0.1032, "raw_formation_energy_mev_per_atom": -2968, "dos_ef_per_ev_cell": 5.749}

---

# 9
{"formula": "LaTiO3", "functional": "GGA-PBEsol", "state": "relaxed", "lattice": [[5.511, 0.000, 0.000], [0.000, 5.588, 0.000], [0.000, 0.000, 7.833]], "species": ["La", "La", "La", "La", "Ti", "Ti", "Ti", "Ti", "O", "O", "O", "O", "O", "O", "O", "O", "O", "O", "O", "O"], "fractional_positions": [[0.006, 0.957, 0.750], [0.494, 0.457, 0.750], [0.506, 0.543, 0.250], [0.994, 0.043, 0.250], [0.000, 0.500, 0.500], [0.500, 0.000, 0.000], [0.500, 0.000, 0.500], [0.000, 0.500, 0.000], [0.710, 0.288, 0.465], [0.790, 0.788, 0.035], [0.210, 0.212, 0.535], [0.290, 0.712, 0.965], [0.290, 0.712, 0.535], [0.210, 0.212, 0.965], [0.790, 0.788, 0.465], [0.710, 0.288, 0.035], [0.064, 0.490, 0.250], [0.436, 0.990, 0.250], [0.564, 0.010, 0.750], [0.936, 0.510, 0.750]], "magmom_total_mub_per_atom": 0.0000, "raw_formation_energy_mev_per_atom": -3286, "dos_ef_per_ev_cell": 7.827}

---

# 10
{"formula": "LaY3Ti4O14", "functional": "GGA-PBEsol", "state": "relaxed", "lattice": [[-1.475, 5.972, 3.672], [-6.293, 3.298, -0.916], [-4.900, -0.133, 5.224]], "species": ["La", "Y", "Y", "Y", "Ti", "Ti", "Ti", "Ti", "O", "O", "O", "O", "O", "O", "O", "O", "O", "O", "O", "O", "O", "O"], "fractional_positions": [[0.500, 0.500, 0.500], [0.000, 0.500, 0.500], [0.500, 0.500, 0.000], [0.500, 0.000, 0.500], [0.000, 0.000, 0.000], [0.500, 0.000, 0.000], [0.000, 0.000, 0.500], [0.000, 0.500, 0.000], [0.926, 0.328, 0.328], [0.329, 0.921, 0.921], [0.328, 0.328, 0.926], [0.921, 0.921, 0.329], [0.921, 0.329, 0.921], [0.328, 0.926, 0.328], [0.074, 0.672, 0.672], [0.671, 0.079, 0.079], [0.672, 0.672, 0.074], [0.079, 0.079, 0.671], [0.079, 0.671, 0.079], [0.672, 0.074, 0.672], [0.369, 0.369, 0.369], [0.631, 0.631, 0.631]], "magmom_total_mub_per_atom": 0.0000, "raw_formation_energy_mev_per_atom": -3364, "dos_ef_per_ev_cell": 0.000}

---

# 11
{"formula": "LaY3Ti4O12", "functional": "GGA-PBEsol", "state": "relaxed", "lattice": [[5.336, -0.005, 0.000], [-0.005, 5.651, 0.000], [0.000, 0.000, 7.650]], "species": ["La", "Y", "Y", "Y", "Ti", "Ti", "Ti", "Ti", "O", "O", "O", "O", "O", "O", "O", "O", "O", "O", "O", "O"], "fractional_positions": [[0.513, 0.440, 0.000], [0.977, 0.932, 0.000], [0.480, 0.575, 0.500], [0.019, 0.069, 0.500], [0.000, 0.501, 0.745], [0.501, 0.003, 0.253], [0.000, 0.501, 0.255], [0.501, 0.003, 0.747], [0.817, 0.192, 0.801], [0.701, 0.709, 0.205], [0.198, 0.798, 0.310], [0.308, 0.302, 0.691], [0.198, 0.798, 0.690], [0.308, 0.302, 0.309], [0.817, 0.192, 0.199], [0.701, 0.709, 0.795], [0.385, 0.021, 0.000], [0.081, 0.540, 0.000], [0.617, 0.961, 0.500], [0.877, 0.452, 0.500]], "magmom_total_mub_per_atom": 0.1903, "raw_formation_energy_mev_per_atom": -3266, "dos_ef_per_ev_cell": 8.514}

---

# 12
{"formula": "La3YTi4O14", "functional": "GGA-PBEsol", "state": "relaxed", "lattice": [[-1.486, -5.996, 3.846], [-1.783, -6.168, -3.424], [4.645, -5.602, -0.056]], "species": ["La", "La", "La", "Y", "Ti", "Ti", "Ti", "Ti", "O", "O", "O", "O", "O", "O", "O", "O", "O", "O", "O", "O", "O", "O"], "fractional_positions": [[0.000, 0.500, 0.500], [0.500, 0.500, 0.000], [0.500, 0.000, 0.500], [0.500, 0.500, 0.500], [0.000, 0.000, 0.000], [0.500, 0.000, 0.000], [0.000, 0.000, 0.500], [0.000, 0.500, 0.000], [0.381, 0.381, 0.381], [0.619, 0.619, 0.619], [0.921, 0.325, 0.325], [0.324, 0.926, 0.926], [0.325, 0.325, 0.921], [0.926, 0.926, 0.324], [0.926, 0.324, 0.926], [0.325, 0.921, 0.325], [0.079, 0.675, 0.675], [0.676, 0.074, 0.074], [0.675, 0.675, 0.079], [0.074, 0.074, 0.676], [0.074, 0.676, 0.074], [0.675, 0.079, 0.675]], "magmom_total_mub_per_atom": 0.0000, "raw_formation_energy_mev_per_atom": -3338, "dos_ef_per_ev_cell": 0.000}